# BiSbO2

Crystalline BiSbO2 at its relaxed geometry (GGA-PBE, Alexandria via LeMat-Bulk).

a = 7.2837 Å, b = 7.2837 Å, c = 7.2837 Å
α = 28.20°, β = 28.20°, γ = 28.20°
Fractional positions:
Bi 0.0000 0.0000 0.0000
Sb 0.5000 0.5000 0.5000
O 0.3925 0.3925 0.3925
O 0.6075 0.6075 0.6075

Calculated values
Formation energy (no corrections) = -835 meV/atom
Space group = No. 166
Polymorph energy (0 for the lowest one) = 0 meV per atom
Volume = 76.2 Å³/f.u.
Uncorrected energy = -0.3906 Ry/atom
Spin magnetization = 0.00 μB/f.u.
N(E_F) = 0.8 states/eV/cell